No. 1
BaDyAl4 PBE optimized geometry; calculated total energy = -23.1 eV for the cell shown
1.0
-0.6191 -2.5040 5.1798
3.6172 -4.2130 1.6278
3.8909 0.9780 4.1699
Al Ba Dy
4 1 1
Cartesian
2.3553 -4.0813 4.7728
2.4928 -1.4741 6.0496
4.3095 -3.5901 6.8672
4.6205 -2.3325 4.2656
1.7223 -1.4348 2.7444
0.0000 0.0000 0.0000



No. 2
PrPu2TeO4 PBE optimized geometry; raw formation energy = -2.801 eV per atom; calculated total energy = -78.8 eV for the cell shown
1.0
-0.1856 2.9750 2.6272
-1.9719 -2.3516 2.5236
7.9576 -2.7400 3.6649
Pr Pu Te O
1 2 1 4
Cartesian
0.0000 0.0000 0.0000
1.1122 -0.4427 3.5844
4.6879 -1.6739 5.2312
3.9788 -1.3700 1.8325
0.3069 -1.6209 1.8572
6.5719 -0.8073 4.3831
1.2000 1.0423 1.9090
5.6788 -3.4706 4.3313



No. 3
Ta3InAs PBE optimized geometry; energy above the most stable polymorph in this dataset = 1384 meV per atom; calculated total energy = -31.8 eV for the cell shown
1.0
5.0086 0.0000 0.0000
0.0000 5.0086 0.0000
0.0000 0.0000 5.0086
As In Ta
1 1 3
Cartesian
2.5043 2.5043 2.5043
0.0000 0.0000 0.0000
0.0000 2.5043 0.0000
0.0000 0.0000 2.5043
2.5043 0.0000 0.0000



No. 4
AcMg3Ni PBE optimized geometry; energy above the most stable polymorph in this dataset = 77 meV per atom; calculated total energy = -30.0 eV for the cell shown
1.0
5.7791 -0.0005 -2.7689
-1.8312 6.4977 -3.8231
-0.0831 -0.3959 7.2422
Ac Mg Ni
2 6 2
Cartesian
-0.1907 3.4546 1.0390
0.7361 0.2058 2.9451
3.0978 2.0531 0.4764
2.6637 3.2609 3.2692
3.5815 0.0026 5.1870
2.3085 4.8557 -1.1714
0.6888 0.0130 6.5649
-0.2232 3.2522 4.6591
3.4515 4.5683 1.1903
1.9737 2.3405 -1.8943



No. 5
CrAu3Se PBE optimized geometry; energy above the most stable polymorph in this dataset = 404 meV per atom; raw formation energy = 1.194 eV per atom; calculated total energy = -17.0 eV for the cell shown
1.0
-2.1086 -0.7239 -4.2875
-3.2095 -2.9557 2.0775
-2.9336 3.7540 0.8089
Cr Au Se
1 3 1
Cartesian
0.0000 0.0000 0.0000
-1.6047 -1.4778 1.0387
-1.4668 1.8770 0.4044
-1.0543 -0.3620 -2.1437
-4.1258 0.0372 -0.7006



No. 6
Zr6CdSb3 PBE optimized geometry; raw formation energy = -0.338 eV per atom; calculated total energy = -135.9 eV for the cell shown
1.0
7.2884 0.0000 0.0000
0.0000 8.5055 -0.7192
0.0000 -2.5991 8.1305
Zr Cd Sb
12 2 6
Cartesian
0.8386 4.7442 4.5660
4.4828 3.3922 5.6435
2.2290 2.1690 7.4933
5.8732 6.8204 3.7864
2.0421 8.0055 -0.3208
4.0452 0.3121 5.8104
0.4010 5.5943 1.6009
5.6863 -2.0991 7.7321
2.2290 -0.9140 3.6249
5.8732 3.7374 -0.0820
0.8386 2.5142 1.7678
4.4828 1.1622 2.8453
0.7161 -0.5990 6.5366
4.3604 6.5055 0.8747
3.3755 5.9574 5.0693
7.0197 3.6121 6.9384
2.0690 2.0539 4.4223
5.7132 3.8525 2.9890
7.0197 -0.0510 2.3420
3.3755 2.2943 0.4729



Question: Look up the calculated total energy of the sixth one.
Answer: -135.9 eV for the cell shown



Question: The lowest calculated total energy belongs to which entry?
Answer: Zr6CdSb3



Question: calculated total energy of number 3 (Ta3InAs)?
Answer: -31.8 eV for the cell shown